# 1
# SrHoSn2Hg2

A relaxed SrHoSn2Hg2 crystal (PBE, the Alexandria database).

POSCAR file:
```
SrHoSn2Hg2
1.0
-2.756 -3.882 1.017
1.801 0.600 -4.483
6.807 -4.264 2.164
Sr Ho Sn Hg
1 1 2 2
direct
0.000 0.000 0.000
0.000 0.000 0.500
0.667 0.333 0.245
0.333 0.667 0.755
0.667 0.333 0.667
0.333 0.667 0.333
```

Results
Total energy: -2.971 eV per atom
DFT formation energy: -2.959 eV/f.u.
Space group: P-3m1
Mass density: 8.7 g/cm³

***

# 2
# Tl2RhAu

A relaxed Tl2RhAu crystal (PBE, the Alexandria database).

POSCAR file:
```
Tl2RhAu
1.0
-1.558 2.288 6.147
1.558 -2.288 6.147
1.558 2.288 -6.147
Tl Rh Au
2 1 1
direct
0.951 0.951 0.000
0.239 0.739 0.500
0.753 0.253 0.500
0.558 0.558 0.000
```

Results
Total energy: -3.767 eV per atom
DFT formation energy: 0.293 eV/f.u.
Space group: Imm2
Mass density: 13.4 g/cm³

***

Question: The highest DFT formation energy belongs to which entry?
Answer: Tl2RhAu

***

Question: Among the records above, which one has the highest mass density?
Answer: Tl2RhAu